First-principles (GGA-PBE) data for a relaxed structure of MnCd2Ga2Pt5, as listed in Alexandria via LeMat-Bulk.

Summary:
Its total energy is -50.981 eV per formula unit. As for the density of states at the Fermi level: 2.8 states/eV/f.u. The formation energy is -372 meV/atom.

Structure (CIF):
```
data_MnCd2Ga2Pt5
_symmetry_space_group_name_H-M 'P 4/m b m'
_symmetry_Int_Tables_number 127
_symmetry_space_group_name_Hall '-P 4 2ab'
_cell_length_a 9.4010
_cell_length_b 9.4010
_cell_length_c 3.8068
_cell_angle_alpha 90.00
_cell_angle_beta 90.00
_cell_angle_gamma 90.00
loop_
_atom_site_label
_atom_site_type_symbol
_atom_site_fract_x
_atom_site_fract_y
_atom_site_fract_z
_atom_site_occupancy
Mn1 Mn 0.0000 0.0000 0.0000 1
Cd1 Cd 0.1725 0.3275 0.0000 1
Ga1 Ga 0.1278 0.6278 0.0000 1
Pt1 Pt 0.0000 0.5000 0.5000 1
Pt2 Pt 0.0756 0.8035 0.5000 1
```


First-principles (GGA-PBE) data for a relaxed structure of Mn2Cd2GaPt5, as listed in Alexandria via LeMat-Bulk.

Summary:
Its total energy is -55.856 eV per formula unit. As for the density of states at the Fermi level: 4.5 states/eV/f.u. The formation energy is -246 meV/atom.

Structure (CIF):
```
data_Mn2Cd2GaPt5
_symmetry_space_group_name_H-M 'P 4/m b m'
_symmetry_Int_Tables_number 127
_symmetry_space_group_name_Hall '-P 4 2ab'
_cell_length_a 9.3488
_cell_length_b 9.3488
_cell_length_c 3.8694
_cell_angle_alpha 90.00
_cell_angle_beta 90.00
_cell_angle_gamma 90.00
loop_
_atom_site_label
_atom_site_type_symbol
_atom_site_fract_x
_atom_site_fract_y
_atom_site_fract_z
_atom_site_occupancy
Mn1 Mn 0.1284 0.3716 0.0000 1
Cd1 Cd 0.1695 0.6695 0.0000 1
Ga1 Ga 0.0000 0.0000 0.0000 1
Pt1 Pt 0.0000 0.5000 0.5000 1
Pt2 Pt 0.0771 0.1949 0.5000 1
```


First-principles (GGA-PBE) data for a relaxed structure of MnCd2GaRu, as listed in Alexandria via LeMat-Bulk.

Summary:
Its total energy is -17.714 eV per formula unit. As for the density of states at the Fermi level: 7.7 states/eV/f.u. The formation energy is 1118 meV/atom.

Structure (CIF):
```
data_MnCd2GaRu
_symmetry_space_group_name_H-M 'P 4/m m m'
_symmetry_Int_Tables_number 123
_symmetry_space_group_name_Hall '-P 4 2'
_cell_length_a 5.0123
_cell_length_b 5.0123
_cell_length_c 4.5697
_cell_angle_alpha 90.00
_cell_angle_beta 90.00
_cell_angle_gamma 90.00
loop_
_atom_site_label
_atom_site_type_symbol
_atom_site_fract_x
_atom_site_fract_y
_atom_site_fract_z
_atom_site_occupancy
Mn1 Mn 0.0000 0.0000 0.0000 1
Cd1 Cd 0.0000 0.5000 0.0000 1
Ga1 Ga 0.0000 0.0000 0.5000 1
Ru1 Ru 0.5000 0.5000 0.5000 1
```